w:
Material: ScCu2W
Method: DFT, PBE-GGA
State: optimized geometry

abc: 4.4854 4.4842 3.0186
angles: 90.00 90.00 90.00
Fractional positions:
Cu  0.0000  0.0000  0.0000
Cu  0.5000  0.5000  0.0000
Sc  0.5000  0.0000  0.5000
W  0.0000  0.5000  0.5000

Values from the calculation:
Total magnetic moment ... 0.00 μB per cell
Mass density ... 9.7 Mg/m³

***

x:
Material: ScCu2W
Method: DFT, PBE-GGA
State: optimized geometry

abc: 9.0647 9.0647 9.0647
angles: 18.10 18.10 18.10
Fractional positions:
W  0.7438  0.7438  0.7438
Cu  0.9967  0.9967  0.9967
Cu  0.2561  0.2561  0.2561
Sc  0.5035  0.5035  0.5035

Values from the calculation:
Total magnetic moment ... 0.00 μB per cell
Mass density ... 9.4 Mg/m³

***

Relative energies with respect to the most stable structure, expressed in eV/atom: w 0.000; x 0.133.

***

w:
Material: ScCu2W
Method: DFT, PBE-GGA
State: optimized geometry

abc: 2.8121 2.8121 7.7146
angles: 90.00 90.00 89.92
Fractional positions:
Cu  0.0000  0.0000  0.0163
Sc  0.0000  0.0000  0.4849
Cu  0.5000  0.5000  0.2201
W  0.5000  0.5000  0.7787

Values from the calculation:
Total magnetic moment ... 0.00 μB per cell
Mass density ... 9.7 Mg/m³

***

x:
Material: ScCu2W
Method: DFT, PBE-GGA
State: optimized geometry

abc: 3.8410 3.8410 9.5957
angles: 78.45 78.45 90.00
Fractional positions:
W  0.0000  0.0000  0.0000
Sc  0.2500  0.7500  0.5000
Cu  0.0965  0.6250  0.2500
Cu  0.8750  0.9035  0.7500
W  0.7500  0.2500  0.5000
Cu  0.6535  0.1250  0.2500
Cu  0.3750  0.3465  0.7500
Sc  0.5000  0.5000  0.0000

Values from the calculation:
Total magnetic moment ... 0.00 μB per cell
Mass density ... 8.7 Mg/m³

***

Relative energies with respect to the most stable structure, expressed in eV/atom: w 0.000; x 0.656.

***

w:
Material: ScCu2W
Method: DFT, PBE-GGA
State: optimized geometry

abc: 4.8037 4.8037 5.0882
angles: 82.23 82.23 32.86
Fractional positions:
Cu  0.4942  0.4942  0.5335
W  0.7500  0.7500  0.7500
Sc  0.2500  0.2500  0.2500
Cu  0.0058  0.0058  0.9665

Values from the calculation:
Total magnetic moment ... 0.00 μB per cell
Mass density ... 9.4 Mg/m³

***

x:
Material: ScCu2W
Method: DFT, PBE-GGA
State: optimized geometry

abc: 4.4231 4.4231 4.4231
angles: 60.00 60.00 60.00
Fractional positions:
W  0.5000  0.5000  0.5000
Cu  0.7500  0.7500  0.7500
Cu  0.2500  0.2500  0.2500
Sc  0.0000  0.0000  0.0000

Values from the calculation:
Total magnetic moment ... 0.00 μB per cell
Mass density ... 9.7 Mg/m³

***

y:
Material: ScCu2W
Method: DFT, PBE-GGA
State: optimized geometry

abc: 2.8086 2.8086 7.7100
angles: 90.00 90.00 89.98
Fractional positions:
W  0.5000  0.5000  0.7500
Cu  0.0000  0.0000  0.9893
Sc  0.5000  0.5000  0.2500
Cu  0.0000  0.0000  0.5107

Values from the calculation:
Total magnetic moment ... 0.00 μB per cell
Mass density ... 9.7 Mg/m³

***

Relative energies with respect to the most stable structure, expressed in eV/atom: w 0.140; x 0.075; y 0.000.

***

w:
Material: YSc2Cu
Method: DFT, PBE-GGA
State: optimized geometry

abc: 4.3350 3.6497 6.1918
angles: 72.74 90.00 90.00
Fractional positions:
Y  0.0000  0.5387  0.5474
Sc  0.5000  0.2011  0.2251
Sc  0.0000  0.8138  0.0006
Cu  0.5000  0.9464  0.7269

Values from the calculation:
Total magnetic moment ... 0.00 μB per cell
Mass density ... 4.3 Mg/m³

***

x:
Material: YSc2Cu
Method: DFT, PBE-GGA
State: optimized geometry

abc: 5.9948 5.9948 5.9948
angles: 139.00 139.00 59.38
Each line ends with the local moment (μB).
Fractional positions:
Cu  0.7500  0.2500  0.5000  0.00
Sc  0.5000  0.5000  0.0000  0.07
Sc  0.0000  0.0000  0.0000  0.07
Y  0.2500  0.7500  0.5000  0.01

Values from the calculation:
Total magnetic moment ... 0.20 μB per cell
Mass density ... 4.4 Mg/m³

***

Relative energies with respect to the most stable structure, expressed in eV/atom: w 0.000; x 0.092.

***

w:
Material: YSc2Cu
Method: DFT, PBE-GGA
State: optimized geometry

abc: 4.6614 5.9563 7.2954
angles: 90.00 90.00 113.06
Fractional positions:
Sc  0.3470  0.6938  0.5400
Sc  0.6530  0.3062  0.0400
Y  0.9467  0.8933  0.2500
Sc  0.3470  0.6938  0.9600
Cu  0.2087  0.4182  0.2500
Cu  0.7913  0.5818  0.7500
Y  0.0533  0.1067  0.7500
Sc  0.6530  0.3062  0.4600

Values from the calculation:
Total magnetic moment ... 0.00 μB per cell
Mass density ... 4.3 Mg/m³

***

x:
Material: YSc2Cu
Method: DFT, PBE-GGA
State: optimized geometry

abc: 3.3411 3.3410 8.2516
angles: 90.00 90.00 90.00
Fractional positions:
Sc  0.0000  0.0000  0.9528
Sc  0.5000  0.5000  0.2313
Cu  0.5000  0.5000  0.7766
Y  0.0000  0.0000  0.5394

Values from the calculation:
Total magnetic moment ... 0.00 μB per cell
Mass density ... 4.4 Mg/m³

***

Relative energies with respect to the most stable structure, expressed in eV/atom: w 0.000; x 0.036.

***

w:
Material: YSc2Cu
Method: DFT, PBE-GGA
State: optimized geometry

abc: 6.0715 6.4186 9.5056
angles: 90.00 90.00 90.00
Fractional positions:
Cu  0.5768  0.0953  0.7500
Sc  0.6841  0.8215  0.9492
Cu  0.0768  0.4047  0.2500
Y  0.3786  0.4980  0.7500
Sc  0.6841  0.8215  0.5508
Y  0.6214  0.5020  0.2500
Sc  0.3159  0.1785  0.4492
Sc  0.3159  0.1785  0.0508
Sc  0.8159  0.3215  0.9492
Sc  0.8159  0.3215  0.5508
Sc  0.1841  0.6785  0.0508
Cu  0.4232  0.9047  0.2500
Sc  0.1841  0.6785  0.4492
Y  0.8786  0.0020  0.2500
Cu  0.9232  0.5953  0.7500
Y  0.1214  0.9980  0.7500

Values from the calculation:
Total magnetic moment ... 0.00 μB per cell
Mass density ... 4.3 Mg/m³

***

x:
Material: YSc2Cu
Method: DFT, PBE-GGA
State: optimized geometry

abc: 6.0765 6.0765 4.9771
angles: 65.85 65.85 33.48
Fractional positions:
Y  0.5376  0.5376  0.4630
Cu  0.2605  0.2605  0.2379
Sc  0.9529  0.9529  0.0477
Sc  0.7490  0.7490  0.7514

Values from the calculation:
Total magnetic moment ... 0.00 μB per cell
Mass density ... 4.4 Mg/m³

***

y:
Material: YSc2Cu
Method: DFT, PBE-GGA
State: optimized geometry

abc: 6.1375 6.1375 6.1375
angles: 147.64 131.47 59.54
Fractional positions:
Y  0.7500  0.2500  0.5000
Cu  0.2500  0.7500  0.5000
Sc  0.4583  0.4583  0.0000
Sc  0.0417  0.0417  0.0000

Values from the calculation:
Total magnetic moment ... 0.00 μB per cell
Mass density ... 4.4 Mg/m³

***

Relative energies with respect to the most stable structure, expressed in eV/atom: w 0.000; x 0.066; y 0.014.

***

w:
Material: YScCu
Method: DFT, PBE-GGA
State: optimized geometry

abc: 3.4764 3.4764 6.7990
angles: 90.00 90.00 120.00
Fractional positions:
Sc  0.3333  0.6667  0.2827
Cu  0.0000  0.0000  0.0147
Y  0.6667  0.3333  0.7025

Values from the calculation:
Total magnetic moment ... 0.00 μB per cell
Mass density ... 4.6 Mg/m³

***

x:
Material: YScCu
Method: DFT, PBE-GGA
State: optimized geometry

abc: 4.6693 4.6693 8.2579
angles: 73.58 73.58 60.00
Fractional positions:
Y  0.1197  0.1197  0.6408
Y  0.8803  0.8803  0.3592
Cu  0.7451  0.7451  0.7647
Sc  0.3694  0.3694  0.8917
Sc  0.6306  0.6306  0.1083
Cu  0.2549  0.2549  0.2353

Values from the calculation:
Total magnetic moment ... 0.00 μB per cell
Mass density ... 4.4 Mg/m³

***

y:
Material: YScCu
Method: DFT, PBE-GGA
State: optimized geometry

abc: 6.3973 6.3978 3.3752
angles: 74.70 74.71 30.59
Each line ends with the local moment (μB).
Fractional positions:
Cu  0.9862  0.9862  0.0138  0.01
Sc  0.3669  0.3669  0.6331  0.07
Y  0.6470  0.6470  0.3530  0.09

Values from the calculation:
Total magnetic moment ... 0.28 μB per cell
Mass density ... 4.8 Mg/m³

***

z:
Material: YScCu
Method: DFT, PBE-GGA
State: optimized geometry

abc: 4.6849 4.6849 4.6849
angles: 60.00 60.00 60.00
Fractional positions:
Y  0.7500  0.7500  0.7500
Sc  0.5000  0.5000  0.5000
Cu  0.0000  0.0000  0.0000

Values from the calculation:
Total magnetic moment ... 0.00 μB per cell
Mass density ... 4.5 Mg/m³

***

Relative energies with respect to the most stable structure, expressed in eV/atom: w 0.197; x 0.186; y 0.000; z 0.870.

***

w:
Material: YScCu
Method: DFT, PBE-GGA
State: optimized geometry

abc: 4.4826 4.4826 6.8359
angles: 90.00 90.00 90.00
Fractional positions:
Cu  0.5000  0.0000  0.7232
Y  0.0000  0.5000  0.8752
Cu  0.0000  0.5000  0.2768
Y  0.5000  0.0000  0.1248
Sc  0.0000  0.0000  0.5000
Sc  0.5000  0.5000  0.5000

Values from the calculation:
Total magnetic moment ... 0.00 μB per cell
Mass density ... 4.8 Mg/m³

***

x:
Material: YScCu
Method: DFT, PBE-GGA
State: optimized geometry

abc: 7.0341 8.4769 8.4769
angles: 67.80 65.49 65.49
Fractional positions:
Cu  0.0867  0.6666  0.6666
Cu  0.4199  0.3334  0.3334
Sc  0.7535  0.3689  0.3689
Sc  0.7535  0.8689  0.8689
Y  0.7534  0.4519  0.9519
Cu  0.7534  0.7500  0.2500
Y  0.1571  0.0482  0.5482
Sc  0.0151  0.0000  0.0000
Y  0.3493  0.2500  0.7500
Cu  0.0867  0.1666  0.1666
Y  0.1571  0.5481  0.0481
Cu  0.7534  0.2500  0.7500
Sc  0.0151  0.5000  0.5000
Y  0.7535  0.9518  0.4518
Sc  0.4913  0.1311  0.1311
Sc  0.4913  0.6311  0.6311
Y  0.3494  0.7500  0.2500
Cu  0.4199  0.8334  0.8334

Values from the calculation:
Total magnetic moment ... 0.00 μB per cell
Mass density ... 4.9 Mg/m³

***

Relative energies with respect to the most stable structure, expressed in eV/atom: w 0.024; x 0.000.